(1)
First-principles (PBE-GGA) data for an optimized crystal structure of Sc6In3Pd, as listed in the Alexandria database.

Values from the calculation:
ΔE_f	-0.436	eV/atom
magnetic moment	1.2	μB/cell

POSCAR file:
```
Sc6In3Pd
1.0
8.632 0.000 0.000
0.000 4.969 0.000
-3.321 0.000 10.307
Sc In Pd
12 6 2
Direct
0.045 0.250 0.419 Sc
0.183 0.750 0.171 Sc
0.275 0.250 0.008 Sc
0.351 0.750 0.814 Sc
0.361 0.250 0.329 Sc
0.410 0.250 0.631 Sc
0.590 0.750 0.369 Sc
0.639 0.750 0.671 Sc
0.649 0.250 0.186 Sc
0.725 0.750 0.992 Sc
0.817 0.250 0.829 Sc
0.955 0.750 0.581 Sc
0.022 0.750 0.880 In
0.118 0.250 0.719 In
0.278 0.750 0.476 In
0.722 0.250 0.524 In
0.882 0.750 0.281 In
0.978 0.250 0.120 In
0.468 0.750 0.108 Pd
0.532 0.250 0.892 Pd
```

***

(2)
First-principles (PBE-GGA) data for an optimized crystal structure of K2MoOs, as listed in the Alexandria database.

Values from the calculation:
relative energy among the computed polymorphs	0.568	eV per atom
ΔE_f	1.377	eV/atom
magnetic moment	0.0	μB/cell

POSCAR file:
```
K2MoOs
1.0
2.739 -5.965 0.000
2.739 5.965 0.000
-0.861 0.000 2.545
K Mo Os
2 1 1
Direct
0.000 0.500 0.000 K
0.500 0.000 0.000 K
0.000 0.000 0.500 Mo
0.500 0.500 0.500 Os
```

***

(3)
First-principles (PBE-GGA) data for an optimized crystal structure of Li2ScAu, as listed in the Alexandria database.

Values from the calculation:
relative energy among the computed polymorphs	0.079	eV per atom
ΔE_f	-0.282	eV/atom
magnetic moment	0.0	μB/cell

POSCAR file:
```
Li2ScAu
1.0
3.178 0.000 0.000
0.000 4.973 0.000
-0.232 0.000 4.770
Li Sc Au
2 1 1
Direct
0.196 0.000 0.274 Li
0.804 0.000 0.726 Li
0.500 0.500 0.000 Sc
0.000 0.500 0.500 Au
```

***

(4)
First-principles (PBE-GGA) data for an optimized crystal structure of Ba2CdAgO4, as listed in the Alexandria database.

Values from the calculation:
E_form (uncorrected)	-33.0	kcal/mol of atoms
magnetic moment	1.1	μB/cell

POSCAR file:
```
Ba2CdAgO4
1.0
-3.223 3.223 3.540
3.223 -3.223 3.540
3.223 3.223 -3.540
Ba Cd Ag O
2 1 1 4
Direct
0.000 0.000 0.000 Ba
0.750 0.250 0.500 Ba
0.500 0.500 0.000 Cd
0.250 0.750 0.500 Ag
0.145 0.102 0.583 O
0.438 0.855 0.957 O
0.519 0.562 0.417 O
0.898 0.481 0.043 O
```

***

(5)
First-principles (PBE-GGA) data for an optimized crystal structure of CuHgAs2O6, as listed in the Alexandria database.

Values from the calculation:
E_form (uncorrected)	-18.0	kcal/mol of atoms
magnetic moment	0.0	μB/cell

POSCAR file:
```
CuHgAs2O6
1.0
5.439 -4.909 0.000
5.439 4.909 0.000
-2.895 0.000 5.605
Cu Hg As O
2 2 4 12
Direct
0.234 0.766 0.750 Cu
0.766 0.234 0.250 Cu
0.120 0.880 0.250 Hg
0.880 0.120 0.750 Hg
0.225 0.382 0.288 As
0.382 0.225 0.788 As
0.618 0.775 0.212 As
0.775 0.618 0.712 As
0.022 0.218 0.153 O
0.147 0.615 0.416 O
0.218 0.022 0.653 O
0.305 0.386 0.031 O
0.385 0.853 0.084 O
0.386 0.305 0.531 O
0.614 0.695 0.469 O
0.615 0.147 0.916 O
0.695 0.614 0.969 O
0.782 0.978 0.347 O
0.853 0.385 0.584 O
0.978 0.782 0.847 O
```

***

(6)
First-principles (PBE-GGA) data for an optimized crystal structure of Y2HPb, as listed in the Alexandria database.

Values from the calculation:
relative energy among the computed polymorphs	0.141	eV per atom
magnetic moment	0.0	μB/cell

POSCAR file:
```
Y2HPb
1.0
8.586 0.000 0.000
0.000 6.475 0.000
-1.132 0.000 6.637
Y H Pb
8 4 4
Direct
0.057 0.150 0.312 Y
0.057 0.350 0.812 Y
0.309 0.645 0.534 Y
0.309 0.855 0.034 Y
0.691 0.145 0.966 Y
0.691 0.355 0.466 Y
0.943 0.650 0.188 Y
0.943 0.850 0.688 Y
0.078 0.670 0.932 H
0.078 0.830 0.432 H
0.922 0.170 0.568 H
0.922 0.330 0.068 H
0.370 0.142 0.634 Pb
0.370 0.358 0.134 Pb
0.630 0.642 0.866 Pb
0.630 0.858 0.366 Pb
```

***

What is the magnetic moment in the third record? 0.0 μB/cell

***

Please write out number 4 again, unchanged.
First-principles (PBE-GGA) data for an optimized crystal structure of Ba2CdAgO4, as listed in the Alexandria database.

Values from the calculation:
E_form (uncorrected)	-33.0	kcal/mol of atoms
magnetic moment	1.1	μB/cell

POSCAR file:
```
Ba2CdAgO4
1.0
-3.223 3.223 3.540
3.223 -3.223 3.540
3.223 3.223 -3.540
Ba Cd Ag O
2 1 1 4
Direct
0.000 0.000 0.000 Ba
0.750 0.250 0.500 Ba
0.500 0.500 0.000 Cd
0.250 0.750 0.500 Ag
0.145 0.102 0.583 O
0.438 0.855 0.957 O
0.519 0.562 0.417 O
0.898 0.481 0.043 O
```

***

What is the magnetic moment in the second record? 0.0 μB/cell